# 1
# TaMo2Pt | Alexandria | PBE | relaxed
# Total moment: 0.00 μB/f.u.
data_TaMo2Pt
_symmetry_space_group_name_H-M 'C 1 m 1'
_symmetry_Int_Tables_number 8
_symmetry_space_group_name_Hall 'C -2y'
_cell_length_a 9.494
_cell_length_b 2.730
_cell_length_c 5.089
_cell_angle_alpha 90.00
_cell_angle_beta 97.84
_cell_angle_gamma 90.00
loop_
_atom_site_label
_atom_site_fract_x
_atom_site_fract_y
_atom_site_fract_z
Ta1 0.000 0.000 0.000
Mo1 0.241 0.000 0.729
Mo2 0.482 0.000 0.493
Pt1 0.243 0.500 0.236

# 2
# TaMoPt2 | Alexandria | PBE | relaxed
# Total moment: 0.00 μB/f.u.
data_TaMoPt2
_symmetry_space_group_name_H-M 'I -4 m 2'
_symmetry_Int_Tables_number 119
_symmetry_space_group_name_Hall 'I -4 -2'
_cell_length_a 4.028
_cell_length_b 4.028
_cell_length_c 7.931
_cell_angle_alpha 90.00
_cell_angle_beta 90.00
_cell_angle_gamma 90.00
loop_
_atom_site_label
_atom_site_fract_x
_atom_site_fract_y
_atom_site_fract_z
Ta1 0.000 0.000 0.000
Mo1 0.000 0.500 0.750
Pt1 0.000 0.000 0.500
Pt2 0.000 0.500 0.250

# 3
# TaMo2Pt | Alexandria | PBE | relaxed
# Total moment: 0.00 μB/f.u.
data_TaMo2Pt
_symmetry_space_group_name_H-M 'P m m m'
_symmetry_Int_Tables_number 47
_symmetry_space_group_name_Hall '-P 2 2'
_cell_length_a 2.721
_cell_length_b 4.142
_cell_length_c 5.817
_cell_angle_alpha 90.00
_cell_angle_beta 90.00
_cell_angle_gamma 90.00
loop_
_atom_site_label
_atom_site_fract_x
_atom_site_fract_y
_atom_site_fract_z
Ta1 0.000 0.000 0.000
Mo1 0.500 0.500 0.258
Pt1 0.000 0.000 0.500

# 4
# TaMo2Pt | Alexandria | PBE | relaxed
# Total moment: 0.00 μB/f.u.
data_TaMo2Pt
_symmetry_space_group_name_H-M 'P 4/m m m'
_symmetry_Int_Tables_number 123
_symmetry_space_group_name_Hall '-P 4 2'
_cell_length_a 2.738
_cell_length_b 2.738
_cell_length_c 8.746
_cell_angle_alpha 90.00
_cell_angle_beta 90.00
_cell_angle_gamma 90.00
loop_
_atom_site_label
_atom_site_fract_x
_atom_site_fract_y
_atom_site_fract_z
Ta1 0.000 0.000 0.000
Mo1 0.500 0.500 0.264
Pt1 0.000 0.000 0.500

# 5
# TaMo2Pt | Alexandria | PBE | relaxed
# Total moment: 0.00 μB/f.u.
data_TaMo2Pt
_symmetry_space_group_name_H-M 'I 4/m m m'
_symmetry_Int_Tables_number 139
_symmetry_space_group_name_Hall '-I 4 2'
_cell_length_a 3.947
_cell_length_b 3.947
_cell_length_c 8.383
_cell_angle_alpha 90.00
_cell_angle_beta 90.00
_cell_angle_gamma 90.00
loop_
_atom_site_label
_atom_site_fract_x
_atom_site_fract_y
_atom_site_fract_z
Ta1 0.000 0.000 0.000
Mo1 0.000 0.500 0.250
Pt1 0.000 0.000 0.500

# 6
# TaMo2Pt | Alexandria | PBE | relaxed
# Total moment: 0.00 μB/f.u.
data_TaMo2Pt
_symmetry_space_group_name_H-M 'R 3 m'
_symmetry_Int_Tables_number 160
_symmetry_space_group_name_Hall 'R 3 -2"'
_cell_length_a 2.8033
_cell_length_b 2.8033
_cell_length_c 29.0534
_cell_angle_alpha 90.00
_cell_angle_beta 90.00
_cell_angle_gamma 120.00
loop_
_atom_site_label
_atom_site_fract_x
_atom_site_fract_y
_atom_site_fract_z
Ta1 0.0000 0.0000 0.0000
Mo1 0.0000 0.0000 0.5052
Mo2 0.0000 0.0000 0.7544
Pt1 0.0000 0.0000 0.2526

# 7
# TaMo2Pt | Alexandria | PBE | relaxed
# Total moment: 0.00 μB/f.u.
data_TaMo2Pt
_symmetry_space_group_name_H-M 'C 1 2/m 1'
_symmetry_Int_Tables_number 12
_symmetry_space_group_name_Hall '-C 2y'
_cell_length_a 5.479
_cell_length_b 9.220
_cell_length_c 2.726
_cell_angle_alpha 90.00
_cell_angle_beta 108.69
_cell_angle_gamma 90.00
loop_
_atom_site_label
_atom_site_fract_x
_atom_site_fract_y
_atom_site_fract_z
Ta1 0.000 0.000 0.000
Mo1 0.250 0.250 0.500
Pt1 0.000 0.500 0.000

# 8
# TaMoPt3 | Alexandria | PBE | relaxed
# Total moment: 3.50 μB/f.u.
data_TaMoPt3
_symmetry_space_group_name_H-M 'P m -3 m'
_symmetry_Int_Tables_number 221
_symmetry_space_group_name_Hall '-P 4 2 3'
_cell_length_a 4.843
_cell_length_b 4.843
_cell_length_c 4.843
_cell_angle_alpha 90.00
_cell_angle_beta 90.00
_cell_angle_gamma 90.00
loop_
_atom_site_label
_atom_site_fract_x
_atom_site_fract_y
_atom_site_fract_z
Ta1 0.000 0.000 0.000
Mo1 0.500 0.500 0.500
Pt1 0.000 0.000 0.500

# 9
# TaMoPt2 | Alexandria | PBE | relaxed
# Total moment: 0.00 μB/f.u.
data_TaMoPt2
_symmetry_space_group_name_H-M 'I 4/m m m'
_symmetry_Int_Tables_number 139
_symmetry_space_group_name_Hall '-I 4 2'
_cell_length_a 3.929
_cell_length_b 3.929
_cell_length_c 8.255
_cell_angle_alpha 90.00
_cell_angle_beta 90.00
_cell_angle_gamma 90.00
loop_
_atom_site_label
_atom_site_fract_x
_atom_site_fract_y
_atom_site_fract_z
Ta1 0.000 0.000 0.000
Mo1 0.000 0.000 0.500
Pt1 0.000 0.500 0.250

# 10
# TaMo2Pt | Alexandria | PBE | relaxed
# Total moment: 0.00 μB/f.u.
data_TaMo2Pt
_symmetry_space_group_name_H-M 'P 4/m m m'
_symmetry_Int_Tables_number 123
_symmetry_space_group_name_Hall '-P 4 2'
_cell_length_a 3.299
_cell_length_b 3.299
_cell_length_c 6.030
_cell_angle_alpha 90.00
_cell_angle_beta 90.00
_cell_angle_gamma 90.00
loop_
_atom_site_label
_atom_site_fract_x
_atom_site_fract_y
_atom_site_fract_z
Ta1 0.000 0.000 0.000
Mo1 0.500 0.500 0.248
Pt1 0.000 0.000 0.500

# 11
# TaMoPt | Alexandria | PBE | relaxed
# Total moment: 0.00 μB/f.u.
data_TaMoPt
_symmetry_space_group_name_H-M 'I 4 m m'
_symmetry_Int_Tables_number 107
_symmetry_space_group_name_Hall 'I 4 -2'
_cell_length_a 3.378
_cell_length_b 3.378
_cell_length_c 8.776
_cell_angle_alpha 90.00
_cell_angle_beta 90.00
_cell_angle_gamma 90.00
loop_
_atom_site_label
_atom_site_fract_x
_atom_site_fract_y
_atom_site_fract_z
Ta1 0.000 0.000 0.000
Mo1 0.000 0.000 0.341
Pt1 0.000 0.000 0.668

# 12
# TaMo2Pt | Alexandria | PBE | relaxed
# Total moment: 0.00 μB/f.u.
data_TaMo2Pt
_symmetry_space_group_name_H-M 'I -4 2 d'
_symmetry_Int_Tables_number 122
_symmetry_space_group_name_Hall 'I -4 2bw'
_cell_length_a 3.765
_cell_length_b 3.765
_cell_length_c 19.948
_cell_angle_alpha 90.00
_cell_angle_beta 90.00
_cell_angle_gamma 90.00
loop_
_atom_site_label
_atom_site_fract_x
_atom_site_fract_y
_atom_site_fract_z
Ta1 0.000 0.000 0.000
Mo1 0.236 0.250 0.125
Pt1 0.000 0.000 0.500

Excess energy over the best structure of this formula in the dataset (meV/atom)
97; 169; 174; 91; 80; 266; 92; 0; 7; 149; 204; 579
Formation energy (kJ/mol of atoms)
-10.1; -33.8; -2.7; -10.7; -11.8; 6.2; -10.6; 116.0; -49.5; -5.1; -13.6; 36.4